Material: ScCr2B6
Method: DFT, PBE
State: optimized geometry

The formation energy from the elements comes out at -0.55 eV per atom.

POSCAR file:
```
ScCr2B6
1.0
5.2069 0.0000 0.0000
-2.6035 4.5093 0.0000
0.0000 0.0000 3.2086
Sc Cr B
1 2 6
Direct
0.0000 0.0000 0.0000
0.3333 0.6667 0.0000
0.6667 0.3333 0.0000
0.0000 0.3384 0.5000
0.0000 0.6616 0.5000
0.3384 0.0000 0.5000
0.3384 0.3384 0.5000
0.6616 0.0000 0.5000
0.6616 0.6616 0.5000
```